First-principles (PBE) data for a relaxed NdTi2W crystal, as listed in Alexandria.

Cell: 3.2702 3.2702 7.7430 Å, 90.00 90.00 90.00°
Space group P4/mmm (No. 123)
One atom of each set of equivalent atoms:
Nd 0.0000 0.0000 0.0000
Ti 0.5000 0.5000 0.3151
W 0.0000 0.0000 0.5000

## Properties
Its formation energy from the elements is 151.5 meV/atom. The calculation puts the total magnetization at 0.00 μB/atom.